DFT (PBE) results for a geometry-optimized KUSb2 structure.

a = 4.556 Å, b = 4.556 Å, c = 8.491 Å
α = 74.44°, β = 74.44°, γ = 60.00°
Positions (direct):
U 0.000 0.000 0.000
Sb 0.730 0.730 0.809
Sb 0.270 0.270 0.191
K 0.500 0.500 0.500

V	36.3	Å³/atom
density of states at the Fermi level	4.4	states/eV/f.u.
raw formation energy	-21	kJ/mol of atoms
DFT total energy	-21.50	eV for the cell shown

DFT (PBE) results for a geometry-optimized KUSb2 structure.

a = 3.536 Å, b = 3.536 Å, c = 9.503 Å
α = 90.00°, β = 90.00°, γ = 90.00°
Positions (direct):
Sb 0.000 0.000 0.222
Sb 0.000 0.000 0.778
U 0.500 0.500 0.000
K 0.500 0.500 0.500

V	29.7	Å³/atom
density of states at the Fermi level	4.9	states/eV/f.u.
raw formation energy	-25	kJ/mol of atoms
DFT total energy	-21.67	eV for the cell shown

DFT (PBE) results for a geometry-optimized KV3Sb structure.

a = 4.408 Å, b = 4.408 Å, c = 4.408 Å
α = 90.00°, β = 90.00°, γ = 90.00°
Positions (direct):
V 0.500 0.000 0.000
V 0.000 0.000 0.500
V 0.000 0.500 0.000
Sb 0.500 0.500 0.500
K 0.000 0.000 0.000

V	17.1	Å³/atom
density of states at the Fermi level	6.7	states/eV/f.u.
raw formation energy	219	kJ/mol of atoms
DFT total energy	-21.21	eV for the cell shown

DFT (PBE) results for a geometry-optimized KVSb2 structure.

a = 3.520 Å, b = 3.520 Å, c = 10.708 Å
α = 80.54°, β = 80.54°, γ = 60.00°
Positions (direct):
K 0.000 0.000 0.000
Sb 0.892 0.892 0.324
Sb 0.108 0.108 0.676
V 0.500 0.500 0.500

V	28.2	Å³/atom
density of states at the Fermi level	1.7	states/eV/f.u.
raw formation energy	6	kJ/mol of atoms
DFT total energy	-18.20	eV for the cell shown

DFT (PBE) results for a geometry-optimized KVSb2 structure.

a = 3.407 Å, b = 3.407 Å, c = 8.764 Å
α = 90.00°, β = 90.00°, γ = 90.00°
Positions (direct):
Sb 0.000 0.000 0.186
Sb 0.000 0.000 0.814
V 0.500 0.500 0.000
K 0.500 0.500 0.500

V	25.4	Å³/atom
density of states at the Fermi level	1.7	states/eV/f.u.
raw formation energy	-11	kJ/mol of atoms
DFT total energy	-18.94	eV for the cell shown

DFT (PBE) results for a geometry-optimized KVSb2 structure.

a = 5.217 Å, b = 5.217 Å, c = 5.217 Å
α = 60.00°, β = 60.00°, γ = 60.00°
Positions (direct):
V 0.500 0.500 0.500
K 0.000 0.000 0.000
Sb 0.750 0.750 0.750
Sb 0.250 0.250 0.250

V	25.1	Å³/atom
density of states at the Fermi level	2.4	states/eV/f.u.
raw formation energy	24	kJ/mol of atoms
DFT total energy	-17.45	eV for the cell shown

DFT (PBE) results for a geometry-optimized K2VSb4 structure.

a = 5.187 Å, b = 5.187 Å, c = 9.807 Å
α = 74.67°, β = 74.67°, γ = 90.00°
Positions (direct):
K 0.658 0.658 0.684
K 0.342 0.342 0.316
Sb 0.000 0.500 0.000
Sb 0.856 0.856 0.289
Sb 0.500 0.000 0.000
Sb 0.144 0.144 0.711
V 0.000 0.000 0.000

V	35.0	Å³/atom
density of states at the Fermi level	6.4	states/eV/f.u.
raw formation energy	-1	kJ/mol of atoms
DFT total energy	-27.86	eV for the cell shown

DFT (PBE) results for a geometry-optimized K2VSb structure.

a = 13.061 Å, b = 13.061 Å, c = 9.595 Å
α = 47.11°, β = 47.11°, γ = 90.00°
Positions (direct):
V 0.500 0.500 0.000
V 0.250 0.750 0.500
Sb 0.000 0.000 0.000
Sb 0.750 0.250 0.500
K 0.413 0.125 0.250
K 0.337 0.625 0.250
K 0.375 0.587 0.750
K 0.875 0.663 0.750

V	55.5	Å³/atom
density of states at the Fermi level	2.1	states/eV/f.u.
raw formation energy	33	kJ/mol of atoms
DFT total energy	-28.17	eV for the cell shown